Density functional theory data (PBE) for Ge2Te5Pd4 after structural relaxation.

Lattice parameters (Å, degrees): 3.952 6.593 11.085 97.32 100.27 90.00
Fractional positions:
Ge (0.558, 0.443, 0.116)
Ge (0.442, 0.557, 0.884)
Te (0.141, 0.805, 0.281)
Te (0.859, 0.195, 0.719)
Te (0.202, 0.310, 0.404)
Te (0.500, 0.000, 0.000)
Te (0.798, 0.690, 0.596)
Pd (0.673, 0.558, 0.346)
Pd (0.015, 0.709, 0.031)
Pd (0.327, 0.442, 0.654)
Pd (0.985, 0.291, 0.969)

Computed properties:
- Fermi-level density of states: 4.3 states/eV/f.u.
- Energy relative to the elements, uncorrected: -0.230 eV per atom
- Space group: C2/m, No. 12


Density functional theory data (PBE) for Ge2TePd after structural relaxation.

Lattice parameters (Å, degrees): 4.059 4.059 7.700 74.72 74.72 60.00
Fractional positions:
Ge (0.123, 0.123, 0.632)
Ge (0.877, 0.877, 0.368)
Te (0.000, 0.000, 0.000)
Pd (0.500, 0.500, 0.500)

Computed properties:
- Fermi-level density of states: 2.7 states/eV/f.u.
- Energy relative to the elements, uncorrected: 0.047 eV per atom
- Space group: R-3m, No. 166


Density functional theory data (PBE) for Ge3TePd after structural relaxation.

Lattice parameters (Å, degrees): 4.920 4.920 4.920 90.00 90.00 90.00
Fractional positions:
Ge (0.000, 0.500, 0.000)
Ge (0.000, 0.000, 0.500)
Ge (0.500, 0.000, 0.000)
Te (0.500, 0.500, 0.500)
Pd (0.000, 0.000, 0.000)

Computed properties:
- Fermi-level density of states: 3.3 states/eV/f.u.
- Energy relative to the elements, uncorrected: 0.180 eV per atom
- Space group: Pm-3m, No. 221


Density functional theory data (PBE) for GeTe3Pd after structural relaxation.

Lattice parameters (Å, degrees): 5.809 6.519 4.018 71.00 91.27 103.36
Fractional positions:
Ge (0.089, 0.778, 0.966)
Te (0.410, 0.125, 0.294)
Te (0.999, 0.452, 0.634)
Te (0.570, 0.720, 0.979)
Pd (0.493, 0.425, 0.636)

Computed properties:
- Fermi-level density of states: 2.4 states/eV/f.u.
- Energy relative to the elements, uncorrected: -0.130 eV per atom
- Space group: P1, No. 1


Density functional theory data (PBE) for GeTe4Pd2 after structural relaxation.

Lattice parameters (Å, degrees): 7.845 7.845 8.398 117.88 117.90 89.92
Fractional positions:
Ge (0.250, 0.750, 0.500)
Ge (0.000, 0.000, 0.000)
Te (0.887, 0.150, 0.301)
Te (0.363, 0.600, 0.199)
Te (0.849, 0.587, 0.699)
Te (0.850, 0.113, 0.700)
Te (0.413, 0.150, 0.300)
Te (0.401, 0.163, 0.801)
Te (0.400, 0.637, 0.800)
Te (0.837, 0.600, 0.200)
Pd (0.625, 0.375, 0.750)
Pd (0.625, 0.875, 0.250)
Pd (0.625, 0.375, 0.250)
Pd (0.125, 0.375, 0.750)

Computed properties:
- Fermi-level density of states: 3.4 states/eV/f.u.
- Energy relative to the elements, uncorrected: -0.191 eV per atom
- Space group: Fddd, No. 70


Density functional theory data (PBE) for GeTe3Pd after structural relaxation.

Lattice parameters (Å, degrees): 5.354 5.354 5.354 90.00 90.00 90.00
Fractional positions:
Ge (0.000, 0.000, 0.000)
Te (0.000, 0.500, 0.000)
Te (0.000, 0.000, 0.500)
Te (0.500, 0.000, 0.000)
Pd (0.500, 0.500, 0.500)

Computed properties:
- Fermi-level density of states: 6.7 states/eV/f.u.
- Energy relative to the elements, uncorrected: 0.748 eV per atom
- Space group: Pm-3m, No. 221


Density functional theory data (PBE) for GeTe3Pd after structural relaxation.

Lattice parameters (Å, degrees): 5.288 5.288 5.288 90.00 90.00 90.00
Fractional positions:
Ge (0.500, 0.500, 0.500)
Te (0.000, 0.500, 0.000)
Te (0.000, 0.000, 0.500)
Te (0.500, 0.000, 0.000)
Pd (0.000, 0.000, 0.000)

Computed properties:
- Fermi-level density of states: 3.9 states/eV/f.u.
- Energy relative to the elements, uncorrected: 0.381 eV per atom
- Space group: Pm-3m, No. 221


Density functional theory data (PBE) for Ge2TePd after structural relaxation.

Lattice parameters (Å, degrees): 6.132 6.132 7.262 65.02 65.02 90.00
Fractional positions:
Ge (0.570, 0.125, 0.250)
Ge (0.180, 0.625, 0.250)
Ge (0.375, 0.430, 0.750)
Ge (0.875, 0.820, 0.750)
Te (0.000, 0.000, 0.000)
Te (0.750, 0.250, 0.500)
Pd (0.500, 0.500, 0.000)
Pd (0.250, 0.750, 0.500)

Computed properties:
- Fermi-level density of states: 1.1 states/eV/f.u.
- Energy relative to the elements, uncorrected: -0.016 eV per atom
- Space group: I-42d, No. 122


The evaluated E for the records listed, in turn: -48.2; -17.4; -21.3; -19.9; -28.9; -15.5; -17.3; -17.6 eV per formula unit.
The evaluated magnetic moment for the records listed, in turn: 0.0; 0.0; 0.0; 0.0; 0.0; 0.0; 0.0; 0.0 μB per cell.